TbNb4S8: relaxed, PBE.

a = 6.871 Å, b = 6.871 Å, c = 7.542 Å
α = 100.99°, β = 106.00°, γ = 119.22°
Fractional coordinates of all 13 atoms:
Nb 0.768 0.224 0.992
S 0.209 0.528 0.232
S 0.791 0.472 0.768
S 0.704 0.023 0.232
Nb 0.206 0.206 0.000
Tb 0.000 0.500 0.500
S 0.685 0.506 0.191
Nb 0.794 0.794 0.000
S 0.296 0.977 0.768
S 0.779 0.956 0.735
S 0.315 0.494 0.809
Nb 0.232 0.776 0.008
S 0.221 0.044 0.265

Output
M_tot ... 0.00 μB/cell
Symmetry ... C2/m
Formation energy (no corrections) ... -1.240 eV/atom
Electronic total energy ... -7.234 eV/atom